Below is a relaxed ZrGa2I crystal, with properties calculated at the PBE-GGA level.

For the volume, the calculation gives 377 Å³ per cell. Its energy relative to the lowest polymorph listed for this composition is 217 meV/atom. As for the calculated density: 6.29 Mg/m³. For the formation energy without anion corrections, the calculation gives 438 meV/atom. Its density of states at the Fermi level is 1.43 states/eV per atom.

The structure belongs to space group Fm-3m (No. 225); the cell edges are 7.227, 7.227 and 7.227 Å and the angles 90.00°, 90.00° and 90.00°. The asymmetric unit holds Zr at (0.000, 0.000, 0.000), Ga at (0.250, 0.250, 0.250) and I at (0.000, 0.000, 0.500).